1.
Material: YCu2W
Method: DFT, PBE-GGA
State: relaxed

a b c (Å): 4.839 4.839 2.877
angles (deg): 90.00 90.00 100.99
Fractional positions:
Y 0.000 0.000 0.000
Cu 0.000 0.500 0.500
Cu 0.500 0.000 0.500
W 0.500 0.500 0.000

Output
Total magnetic moment   0.00 μB/f.u.
SG   Cmmm (65)
Relative energy among the computed polymorphs   7.10 kJ per mole of atoms

2.
Material: BaBeV
Method: DFT, PBE-GGA
State: relaxed

a b c (Å): 4.024 4.448 9.583
angles (deg): 90.76 91.09 91.14
Fractional positions:
Ba 0.000 0.000 0.000
Ba 0.496 0.490 0.594
Be 0.033 0.594 0.264
Be 0.510 0.368 0.228
V 0.550 0.869 0.316
V 0.950 0.104 0.351

Output
Total magnetic moment   0.00 μB/f.u.
SG   P1 (1)
Relative energy among the computed polymorphs   13.60 kJ per mole of atoms